{"formula": "Ac2HfBi", "functional": "PBE-GGA", "state": "relaxed", "cell": [[-0.9630, 0.8250, 3.3223], [-3.4422, 0.0600, 0.8905], [-0.8507, -11.9095, 4.6140]], "species": ["Ac", "Ac", "Hf", "Bi"], "fractional_positions": [[0.0865, 0.0865, 0.7405], [0.9135, 0.9135, 0.2595], [0.0000, 0.0000, 0.0000], [0.5000, 0.5000, 0.5000]], "delta_e_f_mev_per_atom": 400, "vol_a3_per_atom": 34.59, "total_energy_ev_per_atom": -5.113, "polymorph_energy_mev_per_atom": 422}



{"formula": "AcHfBi3", "functional": "PBE-GGA", "state": "relaxed", "cell": [[-1.6988, 2.5684, 4.7458], [-5.1118, -2.3599, -0.5526], [1.7288, -4.4541, 3.0293]], "species": ["Ac", "Hf", "Bi", "Bi", "Bi"], "fractional_positions": [[0.5000, 0.5000, 0.5000], [0.0000, 0.0000, 0.0000], [0.0000, 0.5000, 0.0000], [0.0000, 0.0000, 0.5000], [0.5000, 0.0000, 0.0000]], "delta_e_f_mev_per_atom": -142, "vol_a3_per_atom": 36.21, "total_energy_ev_per_atom": -5.283, "polymorph_energy_mev_per_atom": 353}



{"formula": "Ac2HfBi", "functional": "PBE-GGA", "state": "relaxed", "cell": [[3.7118, 0.0000, 0.0000], [0.0000, 6.0721, 0.0000], [0.0000, 0.0000, 6.0721]], "species": ["Ac", "Ac", "Hf", "Bi"], "fractional_positions": [[0.0000, 0.0000, 0.5000], [0.0000, 0.5000, 0.0000], [0.5000, 0.5000, 0.5000], [0.5000, 0.0000, 0.0000]], "delta_e_f_mev_per_atom": -22, "vol_a3_per_atom": 34.21, "total_energy_ev_per_atom": -5.535, "polymorph_energy_mev_per_atom": 0}



{"formula": "Ac2HfBi2N2", "functional": "PBE-GGA", "state": "relaxed", "cell": [[4.3938, 0.0000, 0.0000], [0.0000, 4.3938, 0.0000], [-2.1969, -2.1969, 8.8355]], "species": ["Ac", "Ac", "Hf", "Bi", "Bi", "N", "N"], "fractional_positions": [[0.4012, 0.4012, 0.8023], [0.5988, 0.5988, 0.1977], [0.0000, 0.0000, 0.0000], [0.1918, 0.1918, 0.3835], [0.8082, 0.8082, 0.6165], [0.0000, 0.5000, 0.0000], [0.5000, 0.0000, 0.0000]], "raw_formation_energy_ev_per_atom": -1.03, "vol_a3_per_atom": 24.37, "total_energy_ev_per_atom": -7.111}



{"formula": "AcHfBi2O8", "functional": "PBE-GGA", "state": "relaxed", "cell": [[5.1418, 0.0794, -0.0033], [0.1364, 5.1402, -0.0057], [0.0047, 0.0080, 7.1357]], "species": ["Ac", "Hf", "Bi", "Bi", "O", "O", "O", "O", "O", "O", "O", "O"], "fractional_positions": [[0.0000, 0.0000, 0.5000], [0.0000, 0.0000, 0.0000], [0.5000, 0.5000, 0.7614], [0.5000, 0.5000, 0.2386], [0.1945, 0.8051, 0.2145], [0.7025, 0.7028, 0.0000], [0.8054, 0.1949, 0.2145], [0.8055, 0.1949, 0.7855], [0.2975, 0.2972, 0.0000], [0.1946, 0.8051, 0.7855], [0.6711, 0.6722, 0.5000], [0.3289, 0.3278, 0.5000]], "raw_formation_energy_ev_per_atom": -2.03, "vol_a3_per_atom": 15.71, "total_energy_ev_per_atom": -7.157}



{"formula": "AcHfBiO6", "functional": "PBE-GGA", "state": "relaxed", "cell": [[5.5975, 0.0000, 0.0000], [-2.7988, 4.8476, 0.0000], [0.0000, 0.0000, 10.7551]], "species": ["Ac", "Ac", "Hf", "Hf", "Bi", "Bi", "O", "O", "O", "O", "O", "O", "O", "O", "O", "O", "O", "O"], "fractional_positions": [[0.0000, 0.0000, 0.0000], [0.0000, 0.0000, 0.5000], [0.3333, 0.6667, 0.2500], [0.6667, 0.3333, 0.7500], [0.6667, 0.3333, 0.2500], [0.3333, 0.6667, 0.7500], [0.6281, 0.6340, 0.1414], [0.0059, 0.3719, 0.1414], [0.3719, 0.0059, 0.6414], [0.9941, 0.6281, 0.8586], [0.3660, 0.3719, 0.3586], [0.0059, 0.6340, 0.3586], [0.6340, 0.0059, 0.8586], [0.6281, 0.9941, 0.3586], [0.9941, 0.3660, 0.6414], [0.3660, 0.9941, 0.1414], [0.6340, 0.6281, 0.6414], [0.3719, 0.3660, 0.8586]], "raw_formation_energy_ev_per_atom": -2.48, "vol_a3_per_atom": 16.21, "total_energy_ev_per_atom": -7.782}



{"formula": "AcHfBi2O6", "functional": "PBE-GGA", "state": "relaxed", "cell": [[6.3634, 0.0902, -0.6461], [3.2616, 5.0955, -0.5727], [2.6374, 1.4731, 5.3113]], "species": ["Ac", "Hf", "Bi", "Bi", "O", "O", "O", "O", "O", "O"], "fractional_positions": [[0.7584, 0.7689, 0.5944], [0.3359, 0.3178, 0.0226], [0.4616, 0.5254, 0.4275], [0.0353, 0.0134, 0.9712], [0.6106, 0.1747, 0.2357], [0.2705, 0.9940, 0.1825], [0.0850, 0.6161, 0.2241], [0.3944, 0.6760, 0.7831], [0.6358, 0.1500, 0.7468], [0.0741, 0.4254, 0.8274]], "raw_formation_energy_ev_per_atom": -2.25, "vol_a3_per_atom": 18.15, "total_energy_ev_per_atom": -7.412}



{"formula": "AcHgBi", "functional": "PBE-GGA", "state": "relaxed", "cell": [[4.5409, 0.0000, 0.0000], [0.0000, 4.5409, 0.0000], [-2.2705, -2.2705, 4.9904]], "species": ["Ac", "Bi", "Hg"], "fractional_positions": [[0.9937, 0.9937, 0.9874], [0.3397, 0.3397, 0.6794], [0.6666, 0.6666, 0.3332]], "delta_e_f_mev_per_atom": -531, "vol_a3_per_atom": 34.30, "total_energy_ev_per_atom": -3.294, "polymorph_energy_mev_per_atom": 102}



{"formula": "Ac2HgBi", "functional": "PBE-GGA", "state": "relaxed", "cell": [[-1.1504, 4.8631, 2.9921], [-2.1319, -0.3445, 5.4094], [3.3309, 1.4810, 4.5428]], "species": ["Ac", "Ac", "Bi", "Hg"], "fractional_positions": [[0.2500, 0.2500, 0.2500], [0.7500, 0.7500, 0.7500], [0.5000, 0.5000, 0.5000], [0.0000, 0.0000, 0.0000]], "delta_e_f_mev_per_atom": -573, "vol_a3_per_atom": 34.93, "total_energy_ev_per_atom": -3.673, "polymorph_energy_mev_per_atom": 59}



{"formula": "AcHgBi2", "functional": "PBE-GGA", "state": "relaxed", "cell": [[-5.0275, 1.8798, 0.0108], [-3.5482, -1.8474, 3.5787], [-1.3964, 3.9016, 4.6548]], "species": ["Ac", "Bi", "Bi", "Hg"], "fractional_positions": [[0.0000, 0.0000, 0.0000], [0.2212, 0.2212, 0.3364], [0.7788, 0.7788, 0.6636], [0.5000, 0.5000, 0.5000]], "delta_e_f_mev_per_atom": -295, "vol_a3_per_atom": 33.73, "total_energy_ev_per_atom": -3.338, "polymorph_energy_mev_per_atom": 244}



{"formula": "AcHgBi3", "functional": "PBE-GGA", "state": "relaxed", "cell": [[6.7061, 2.3206, 1.5860], [1.6730, 6.1212, -1.2350], [1.6615, 1.1096, 6.1510]], "species": ["Ac", "Hg", "Bi", "Bi", "Bi"], "fractional_positions": [[0.5000, 0.0000, 0.0000], [0.0000, 0.0000, 0.0000], [0.0000, 0.0000, 0.5000], [0.0000, 0.5000, 0.5000], [0.0000, 0.5000, 0.0000]], "delta_e_f_mev_per_atom": -73, "vol_a3_per_atom": 43.97, "total_energy_ev_per_atom": -3.283, "polymorph_energy_mev_per_atom": 122}



{"formula": "AcHgBi", "functional": "PBE-GGA", "state": "relaxed", "cell": [[4.7406, 0.0000, 0.0000], [0.0000, 5.0036, 0.0000], [0.0000, -2.5018, 4.3332]], "species": ["Ac", "Bi", "Hg"], "fractional_positions": [[0.3698, 0.6667, 0.3333], [0.9482, 0.0000, 0.0000], [0.6820, 0.3333, 0.6667]], "delta_e_f_mev_per_atom": -632, "vol_a3_per_atom": 34.26, "total_energy_ev_per_atom": -3.396, "polymorph_energy_mev_per_atom": 0}



{"formula": "AcHgBi3", "functional": "PBE-GGA", "state": "relaxed", "cell": [[-2.2486, 6.1202, 1.1436], [-6.2120, -2.1236, -0.8496], [3.5321, -4.2692, 10.6336]], "species": ["Ac", "Ac", "Hg", "Hg", "Bi", "Bi", "Bi", "Bi", "Bi", "Bi"], "fractional_positions": [[0.5380, 0.0380, 0.0760], [0.9620, 0.4620, 0.9240], [0.0000, 0.0000, 0.0000], [0.2500, 0.7500, 0.5000], [0.6376, 0.8919, 0.7838], [0.1081, 0.8538, 0.2162], [0.1081, 0.3624, 0.2162], [0.1462, 0.8919, 0.7838], [0.4294, 0.4294, 0.8589], [0.5706, 0.5706, 0.1411]], "delta_e_f_mev_per_atom": -195, "vol_a3_per_atom": 48.37, "total_energy_ev_per_atom": -3.406, "polymorph_energy_mev_per_atom": 0}



{"formula": "Ac2HgBi", "functional": "PBE-GGA", "state": "relaxed", "cell": [[4.3535, 0.0000, 0.0000], [0.0000, 5.6499, 0.0000], [0.0000, 0.0000, 5.6499]], "species": ["Ac", "Ac", "Bi", "Hg"], "fractional_positions": [[0.0000, 0.0000, 0.5000], [0.0000, 0.5000, 0.0000], [0.5000, 0.0000, 0.0000], [0.5000, 0.5000, 0.5000]], "delta_e_f_mev_per_atom": -632, "vol_a3_per_atom": 34.74, "total_energy_ev_per_atom": -3.732, "polymorph_energy_mev_per_atom": 0}



{"formula": "Ac2HgBi", "functional": "PBE-GGA", "state": "relaxed", "cell": [[5.3232, 0.0000, 0.0000], [2.6616, 4.6100, 0.0000], [2.6616, 1.5367, 6.1467]], "species": ["Ac", "Ac", "Bi", "Hg"], "fractional_positions": [[0.7524, 0.7524, 0.7429], [0.2476, 0.2476, 0.2571], [0.0000, 0.0000, 0.0000], [0.5000, 0.5000, 0.5000]], "delta_e_f_mev_per_atom": -566, "vol_a3_per_atom": 37.71, "total_energy_ev_per_atom": -3.666, "polymorph_energy_mev_per_atom": 66}



{"formula": "AcHgBi", "functional": "PBE-GGA", "state": "relaxed", "cell": [[-1.9696, -3.2699, 3.6042], [2.6683, -4.3074, 1.3739], [4.3811, 2.1077, 8.1299]], "species": ["Ac", "Ac", "Hg", "Hg", "Bi", "Bi"], "fractional_positions": [[0.5726, 0.5726, 0.2822], [0.4274, 0.4274, 0.7178], [0.8342, 0.8342, 0.4975], [0.1658, 0.1658, 0.5025], [0.6990, 0.6990, 0.9031], [0.3010, 0.3010, 0.0969]], "delta_e_f_mev_per_atom": -391, "vol_a3_per_atom": 35.70, "total_energy_ev_per_atom": -3.155, "polymorph_energy_mev_per_atom": 241}



{"formula": "AcHgBi", "functional": "PBE-GGA", "state": "relaxed", "cell": [[-3.5963, 2.5682, -3.3515], [-2.9001, -2.9221, -3.7164], [-5.4527, -0.7377, 0.6965]], "species": ["Ac", "Bi", "Hg"], "fractional_positions": [[0.2500, 0.2500, 0.2500], [0.5000, 0.5000, 0.5000], [0.0000, 0.0000, 0.0000]], "delta_e_f_mev_per_atom": -499, "vol_a3_per_atom": 40.21, "total_energy_ev_per_atom": -3.263, "polymorph_energy_mev_per_atom": 133}



{"formula": "AcHgBi2", "functional": "PBE-GGA", "state": "relaxed", "cell": [[-0.5032, 3.1285, 3.7080], [0.3238, -3.7056, 3.1704], [5.4414, 0.9210, -3.2465]], "species": ["Ac", "Hg", "Bi", "Bi"], "fractional_positions": [[0.0000, 0.0000, 0.0000], [0.5000, 0.5000, 0.0000], [0.2500, 0.7500, 0.4999], [0.7500, 0.2500, 0.5001]], "delta_e_f_mev_per_atom": -526, "vol_a3_per_atom": 32.14, "total_energy_ev_per_atom": -3.569, "polymorph_energy_mev_per_atom": 13}



{"formula": "AcHgBi4", "functional": "PBE-GGA", "state": "relaxed", "cell": [[-3.0123, -4.5842, -0.7211], [-0.6049, -3.8271, 5.6332], [-5.8752, -0.0277, 3.4956]], "species": ["Ac", "Hg", "Bi", "Bi", "Bi", "Bi"], "fractional_positions": [[0.0000, 0.0000, 0.5000], [0.0000, 0.5000, 0.0000], [0.6706, 0.5634, 0.5955], [0.6706, 0.0947, 0.0642], [0.3294, 0.9053, 0.9358], [0.3294, 0.4366, 0.4045]], "delta_e_f_mev_per_atom": -264, "vol_a3_per_atom": 33.01, "total_energy_ev_per_atom": -3.586, "polymorph_energy_mev_per_atom": 0}



{"formula": "AcHg3Bi", "functional": "PBE-GGA", "state": "relaxed", "cell": [[5.0726, 0.0000, 0.0000], [0.0000, 10.0897, 0.0000], [0.0000, 0.0000, 7.1129]], "species": ["Ac", "Ac", "Hg", "Hg", "Hg", "Hg", "Hg", "Hg", "Bi", "Bi"], "fractional_positions": [[0.5000, 0.0000, 0.6364], [0.0000, 0.5000, 0.3636], [0.5000, 0.7257, 0.3591], [0.0000, 0.7743, 0.6409], [0.0000, 0.2257, 0.6409], [0.5000, 0.2743, 0.3591], [0.0000, 0.0000, 0.9415], [0.5000, 0.5000, 0.0585], [0.5000, 0.0000, 0.1507], [0.0000, 0.5000, 0.8493]], "delta_e_f_mev_per_atom": -213, "vol_a3_per_atom": 36.40, "total_energy_ev_per_atom": -1.992, "polymorph_energy_mev_per_atom": 9}